[1]
The following is a PBE-GGA calculation of a geometry-optimized La4Ga3Pd structure, from the Alexandria database.

Cell and atoms, written as POSCAR:
```
La4Ga3Pd
1.0
-2.7967 0.9333 -3.4243
0.2390 -4.1610 -1.3292
-8.6546 -2.5345 6.3778
Ga La Pd
3 4 1
Direct
0.0000 0.0000 0.4271
0.0000 0.5000 0.5690
0.5000 0.0000 0.9332
0.5000 0.5000 0.3484
0.0000 0.0000 0.1409
0.5000 0.0000 0.6426
0.0000 0.5000 0.8648
0.5000 0.5000 0.0742
```

Calculated values
* E: -4.88 eV per atom
* density of states at the Fermi level: 1.022 states/eV per atom
* calculated formation energy: -5.0 eV per formula unit
* space-group type: No. 25

=====

[2]
The following is a PBE-GGA calculation of a geometry-optimized Al2FeRe structure, from the Alexandria database.

Cell and atoms, written as POSCAR:
```
Al2FeRe
1.0
-2.4727 -1.0567 4.3375
2.5460 -0.1500 4.4205
-1.3509 2.7670 -4.0699
Al Re Fe
2 1 1
Direct
0.7278 0.2278 0.5000
0.0068 0.0068 0.0000
0.2666 0.7666 0.5000
0.4988 0.4988 0.0000
```

Calculated values
* E: -7.27 eV per atom
* density of states at the Fermi level: 0.691 states/eV per atom
* calculated formation energy: -0.7 eV per formula unit
* space-group type: No. 44
* offset from the most stable computed form: 0.12 kcal/mol of atoms

=====

[3]
The following is a PBE-GGA calculation of a geometry-optimized CeNdGdTl structure, from the Alexandria database.

Cell and atoms, written as POSCAR:
```
CeNdGdTl
1.0
5.4959 0.0000 0.0000
2.7480 4.7596 0.0000
2.7480 1.5865 4.4874
Tl Nd Ce Gd
1 1 1 1
Direct
0.0000 0.0000 0.0000
0.7500 0.7500 0.7500
0.5000 0.5000 0.5000
0.2500 0.2500 0.2500
```

Calculated values
* E: -6.79 eV per atom
* density of states at the Fermi level: 1.907 states/eV per atom
* calculated formation energy: 0.0 eV per formula unit
* space-group type: No. 216

=====

[4]
The following is a PBE-GGA calculation of a geometry-optimized SrPrCd4 structure, from the Alexandria database.

Cell and atoms, written as POSCAR:
```
SrPrCd4
1.0
6.1110 0.0000 0.0000
3.0555 5.2923 0.0000
3.0555 1.7641 4.9896
Cd Pr Sr
4 1 1
Direct
0.1221 0.6260 0.6260
0.6260 0.6260 0.6260
0.6260 0.6260 0.1221
0.6260 0.1221 0.6260
0.0000 0.0000 0.0000
0.2500 0.2500 0.2500
```

Calculated values
* E: -1.97 eV per atom
* density of states at the Fermi level: 0.638 states/eV per atom
* calculated formation energy: -1.7 eV per formula unit
* space-group type: No. 216
* offset from the most stable computed form: 0.95 kcal/mol of atoms